Below is crystalline PmYRuO6 at its relaxed geometry, with properties calculated at the PBE-GGA level.

Calculated values
Space-group type: P-31c
E_form (uncorrected) (eV/atom): -2.21
Calculated volume (Å³/atom): 14.1
Uncorrected energy (eV per atom): -7.788

The structure in POSCAR format:
```
PmYRuO6
1.0
5.5946 0.0000 0.0000
-2.7973 4.8451 0.0000
0.0000 0.0000 9.3342
Pm Y Ru O
2 2 2 12
Cartesian
0.0000 3.2300 2.3335
2.7973 1.6150 7.0006
0.0000 0.0000 0.0000
0.0000 0.0000 4.6671
0.0000 3.2300 7.0006
2.7973 1.6150 2.3335
-0.7438 1.8022 5.9006
-1.6084 3.2998 8.1006
0.7438 1.8022 8.1006
-0.8646 4.5881 5.9006
1.9327 0.2569 1.2336
1.1889 1.5453 3.4335
1.6084 3.2998 5.9006
0.8646 4.5881 8.1006
3.6619 0.2569 3.4335
2.0535 3.0428 1.2336
4.4057 1.5453 1.2336
3.5411 3.0428 3.4335
```

Below is crystalline PmZnRuO6 at its relaxed geometry, with properties calculated at the PBE-GGA level.

Calculated values
Space-group type: P4_2nm
E_form (uncorrected) (eV/atom): -1.47
Calculated volume (Å³/atom): 13.1
Uncorrected energy (eV per atom): -6.472

The structure in POSCAR format:
```
PmZnRuO6
1.0
4.9162 0.0000 0.0000
0.0000 4.9162 0.0000
0.0000 0.0000 9.7597
Pm Zn Ru O
2 2 2 12
Cartesian
0.0000 0.0000 0.0000
2.4581 2.4581 4.8799
0.0000 0.0000 3.3115
2.4581 2.4581 8.1913
0.0000 0.0000 6.5547
2.4581 2.4581 1.6749
0.8628 0.8628 5.0659
0.9863 0.9863 7.9005
1.1280 1.1280 1.7574
1.3301 3.5861 6.6373
1.4718 3.4444 3.0206
1.5953 3.3209 0.1860
3.3209 1.5953 0.1860
3.4444 1.4718 3.0206
3.5861 1.3301 6.6373
3.7882 3.7882 1.7574
3.9299 3.9299 7.9005
4.0534 4.0534 5.0659
```

Below is crystalline Pm2SO2 at its relaxed geometry, with properties calculated at the PBE-GGA level.

Calculated values
Space-group type: Pnma
E_form (uncorrected) (eV/atom): -3.02
Calculated volume (Å³/atom): 18.3
Uncorrected energy (eV per atom): -7.728

The structure in POSCAR format:
```
Pm2SO2
1.0
9.5072 0.0000 0.0000
0.0000 3.8530 0.0000
0.0000 0.0000 9.9741
Pm S O
8 4 8
Cartesian
0.0321 0.9632 1.5785
1.5195 0.9632 5.3256
3.2341 2.8897 0.3386
4.7214 2.8897 6.5655
4.7857 0.9632 3.4086
6.2731 0.9632 9.6356
7.9876 2.8897 4.6485
9.4750 2.8897 8.3956
2.2754 0.9632 8.2120
2.4782 2.8897 3.2250
7.0289 0.9632 6.7491
7.2318 2.8897 1.7621
0.4540 2.8897 6.0622
0.9062 2.8897 0.5803
3.8474 0.9632 5.5673
4.2995 0.9632 1.0752
5.2076 2.8897 8.8989
5.6598 2.8897 4.4068
8.6009 0.9632 9.3938
9.0531 0.9632 3.9119
```

Below is crystalline Pm3S3O at its relaxed geometry, with properties calculated at the PBE-GGA level.

Calculated values
Space-group type: C2/m
Energy relative to the lowest polymorph listed for this composition (meV/atom): 162
E_form (uncorrected) (eV/atom): -2.23
Calculated volume (Å³/atom): 22.9
Uncorrected energy (eV per atom): -6.747

The structure in POSCAR format:
```
Pm3S3O
1.0
3.9798 -5.8750 0.0000
3.9798 5.8750 0.0000
-1.0213 0.0000 6.8556
Pm S O
6 6 2
Cartesian
0.4530 0.0000 2.0505
1.7747 1.7789 5.3908
1.7747 -1.7789 5.3908
5.1636 1.7789 1.4648
5.1636 -1.7789 1.4648
6.4853 0.0000 4.8051
3.9798 3.9658 0.0000
3.4692 3.0951 3.4278
2.9449 0.0000 1.0145
3.9934 0.0000 5.8411
3.4692 -3.0951 3.4278
3.9798 -3.9658 0.0000
0.8464 0.0000 4.3052
6.0919 0.0000 2.5505
```

Q: Which value of E_form (uncorrected) does entry 2 give?
A: -1.47 eV/atom